## a
Entry from OQMD: a relaxed structure of CoHgSO (PBE with a Hubbard U).

Unit cell a=6.0430 b=6.8097 c=7.2429 alpha=90.00 beta=90.00 gamma=90.00
Fractional coordinates of all 16 atoms:
1 Co 0.1002 0.2025 0.4067
2 Co 0.3998 0.7975 0.9067
3 Co 0.6002 0.2975 0.5933
4 Co 0.8998 0.7025 0.0933
5 Hg 0.0267 0.6273 0.6071
6 Hg 0.4733 0.3727 0.1071
7 Hg 0.5267 0.8727 0.3929
8 Hg 0.9733 0.1273 0.8929
9 S 0.0288 0.3824 0.1363
10 S 0.4712 0.6176 0.6363
11 S 0.5288 0.1176 0.8637
12 S 0.9712 0.8824 0.3637
13 O 0.0729 0.8092 0.8929
14 O 0.4271 0.1908 0.3929
15 O 0.5729 0.6908 0.1071
16 O 0.9271 0.3092 0.6071

Crystal system   orthorhombic
Magnetization   11.999 Bohr magnetons per cell

## b
Entry from OQMD: a relaxed structure of CoHgSO (PBE with a Hubbard U).

Unit cell a=3.4516 b=3.4516 c=11.7763 alpha=90.00 beta=90.00 gamma=90.00
Fractional coordinates of all 8 atoms:
1 Co 0.2500 0.7500 0.0000
2 Co 0.7500 0.2500 0.0000
3 Hg 0.2500 0.2500 0.4047
4 Hg 0.7500 0.7500 0.5953
5 S 0.2500 0.2500 0.8940
6 S 0.7500 0.7500 0.1060
7 O 0.2500 0.2500 0.7674
8 O 0.7500 0.7500 0.2326

Crystal system   tetragonal
Magnetization   0.019 Bohr magnetons per cell

## c
Entry from OQMD: a relaxed structure of CoHgSO (PBE with a Hubbard U).

Unit cell a=3.7790 b=6.5661 c=5.9073 alpha=90.00 beta=90.00 gamma=90.00
Fractional coordinates of all 8 atoms:
1 Co 0.0000 0.1293 0.0000
2 Co 0.0000 0.8707 0.5000
3 Hg 0.5000 0.3097 0.5515
4 Hg 0.5000 0.6903 0.0515
5 S 0.5000 0.3073 0.1164
6 S 0.5000 0.6927 0.6164
7 O 0.0000 0.1256 0.6677
8 O 0.0000 0.8744 0.1677

Crystal system   orthorhombic
Magnetization   6.000 Bohr magnetons per cell

## d
Entry from OQMD: a relaxed structure of CoHgSO (PBE with a Hubbard U).

Unit cell a=3.7728 b=3.7728 c=9.4560 alpha=90.00 beta=90.00 gamma=90.00
Fractional coordinates of all 8 atoms:
1 Co 0.2500 0.2500 0.1290
2 Co 0.7500 0.7500 0.8710
3 Hg 0.2500 0.2500 0.6252
4 Hg 0.7500 0.7500 0.3748
5 S 0.2500 0.2500 0.8801
6 S 0.7500 0.7500 0.1199
7 O 0.2500 0.7500 0.5000
8 O 0.7500 0.2500 0.5000

Crystal system   tetragonal
Magnetization   5.655 Bohr magnetons per cell

What is the stability order? It is c, a, b, d, from most stable to least stable.

## a
Entry from OQMD: a relaxed structure of CoHgSeO (PBE with a Hubbard U).

Unit cell a=6.1079 b=8.6462 c=5.6581 alpha=90.00 beta=90.00 gamma=90.00
Fractional coordinates of all 16 atoms:
1 Co 0.1134 0.0689 0.0000
2 Co 0.3866 0.0689 0.5000
3 Co 0.6134 0.9311 0.0000
4 Co 0.8866 0.9311 0.5000
5 Hg 0.0380 0.6670 0.0872
6 Hg 0.4620 0.6670 0.5872
7 Hg 0.5380 0.3330 0.0872
8 Hg 0.9620 0.3330 0.5872
9 Se 0.0100 0.6622 0.5990
10 Se 0.4900 0.6622 0.0990
11 Se 0.5100 0.3378 0.5990
12 Se 0.9900 0.3378 0.0990
13 O 0.0963 0.0694 0.6488
14 O 0.4037 0.0694 0.1488
15 O 0.5963 0.9306 0.6488
16 O 0.9037 0.9306 0.1488

Crystal system   orthorhombic
Magnetization   12.005 Bohr magnetons per cell

## b
Entry from OQMD: a relaxed structure of CoHgSeO (PBE with a Hubbard U).

Unit cell a=7.1958 b=7.1958 c=6.2295 alpha=90.00 beta=90.00 gamma=152.93
Fractional coordinates of all 8 atoms:
1 Co 0.1649 0.8351 0.5000
2 Co 0.8351 0.1649 0.0000
3 Hg 0.4392 0.5608 0.5654
4 Hg 0.5608 0.4392 0.0654
5 Se 0.1966 0.8034 0.8940
6 Se 0.8034 0.1966 0.3940
7 O 0.4099 0.5901 0.9400
8 O 0.5901 0.4099 0.4400

Crystal system   orthorhombic
Magnetization   5.806 Bohr magnetons per cell

## c
Entry from OQMD: a relaxed structure of CoHgSeO (PBE with a Hubbard U).

Unit cell a=3.8512 b=3.8512 c=11.5404 alpha=90.00 beta=90.00 gamma=120.00
Fractional coordinates of all 8 atoms:
1 Co 0.0000 0.0000 0.0000
2 Co 0.0000 0.0000 0.5000
3 Hg 0.3333 0.6667 0.2707
4 Hg 0.6667 0.3333 0.7707
5 Se 0.3333 0.6667 0.5904
6 Se 0.6667 0.3333 0.0904
7 O 0.0000 0.0000 0.3361
8 O 0.0000 0.0000 0.8361

Crystal system   hexagonal
Magnetization   5.854 Bohr magnetons per cell

## d
Entry from OQMD: a relaxed structure of CoHgSeO (PBE with a Hubbard U).

Unit cell a=5.8439 b=3.8507 c=13.3910 alpha=90.00 beta=90.00 gamma=90.00
Fractional coordinates of all 16 atoms:
1 Co 0.1590 0.2500 0.1885
2 Co 0.3410 0.7500 0.6885
3 Co 0.6590 0.2500 0.3115
4 Co 0.8410 0.7500 0.8115
5 Hg 0.2166 0.7500 0.4052
6 Hg 0.2834 0.2500 0.9052
7 Hg 0.7166 0.7500 0.0948
8 Hg 0.7834 0.2500 0.5948
9 Se 0.2415 0.2500 0.5797
10 Se 0.2585 0.7500 0.0797
11 Se 0.7415 0.2500 0.9203
12 Se 0.7585 0.7500 0.4203
13 O 0.1739 0.7500 0.8112
14 O 0.3261 0.2500 0.3112
15 O 0.6739 0.7500 0.6888
16 O 0.8261 0.2500 0.1888

Crystal system   orthorhombic
Magnetization   11.942 Bohr magnetons per cell

What is the stability order? It is a, d, b, c, from most stable to least stable.

## a
Entry from OQMD: a relaxed structure of CoHgTeO (PBE with a Hubbard U).

Unit cell a=6.8628 b=7.6113 c=6.7267 alpha=90.00 beta=90.00 gamma=90.00
Fractional coordinates of all 16 atoms:
1 Co 0.0374 0.1799 0.0000
2 Co 0.4626 0.1799 0.5000
3 Co 0.5374 0.8201 0.0000
4 Co 0.9626 0.8201 0.5000
5 Hg 0.0996 0.6286 0.8910
6 Hg 0.4004 0.6286 0.3910
7 Hg 0.5996 0.3714 0.8910
8 Hg 0.9004 0.3714 0.3910
9 Te 0.0996 0.1308 0.6186
10 Te 0.4004 0.1308 0.1186
11 Te 0.5996 0.8692 0.6186
12 Te 0.9004 0.8692 0.1186
13 O 0.0912 0.6082 0.5537
14 O 0.4088 0.6082 0.0537
15 O 0.5912 0.3918 0.5537
16 O 0.9088 0.3918 0.0537

Crystal system   orthorhombic
Magnetization   12.000 Bohr magnetons per cell

## b
Entry from OQMD: a relaxed structure of CoHgTeO (PBE with a Hubbard U).

Unit cell a=6.0121 b=9.5706 c=5.8051 alpha=90.00 beta=90.00 gamma=90.00
Fractional coordinates of all 16 atoms:
1 Co 0.1060 0.0580 0.0000
2 Co 0.3940 0.0580 0.5000
3 Co 0.6060 0.9420 0.0000
4 Co 0.8940 0.9420 0.5000
5 Hg 0.0026 0.3235 0.5808
6 Hg 0.4974 0.3235 0.0808
7 Hg 0.5026 0.6765 0.5808
8 Hg 0.9974 0.6765 0.0808
9 Te 0.0073 0.6730 0.5817
10 Te 0.4927 0.6730 0.0817
11 Te 0.5073 0.3270 0.5817
12 Te 0.9927 0.3270 0.0817
13 O 0.1073 0.0579 0.6587
14 O 0.3927 0.0579 0.1587
15 O 0.6073 0.9421 0.6587
16 O 0.8927 0.9421 0.1587

Crystal system   orthorhombic
Magnetization   11.865 Bohr magnetons per cell

What is the stability order? It is b, a, from most stable to least stable.